Entry 1:
Below is LiCuRu2 at its PBEsol-relaxed geometry, with properties calculated at the meta-GGA SCAN level.

Results
formation energy from the elements: 0.35 eV/atom
energy relative to the lowest polymorph listed for this composition: 205 meV/atom
space group: No. 47
DOS(E_F): 4.37 states/eV per cell

```
LiCuRu2
1.0
2.479 0.000 0.000
0.000 4.111 0.000
0.000 0.000 4.964
Cu Li Ru
1 1 2
direct
0.500 0.500 0.000
0.500 0.500 0.500
0.000 0.000 0.745
0.000 0.000 0.255
```

Entry 2:
Below is AlTc2Os at its PBEsol-relaxed geometry, with properties calculated at the meta-GGA SCAN level.

Results
formation energy from the elements: -0.24 eV/atom
space group: No. 216
DOS(E_F): 2.38 states/eV per cell

```
AlTc2Os
1.0
-1.361 -0.422 -4.037
2.673 -1.434 -3.021
-0.557 -3.900 -1.675
Os Tc Al
1 2 1
direct
0.250 0.250 0.250
0.000 0.000 0.000
0.750 0.750 0.750
0.500 0.500 0.500
```

Entry 3:
Below is CrCo3 at its PBEsol-relaxed geometry, with properties calculated at the meta-GGA SCAN level.

Results
formation energy from the elements: 0.13 eV/atom
energy relative to the lowest polymorph listed for this composition: 8 meV/atom
space group: No. 221
DOS(E_F): 3.57 states/eV per cell

```
CrCo3
1.0
-0.599 -0.900 -3.272
3.286 0.674 -0.787
0.845 -3.257 0.741
Cr Co
1 3
direct
0.500 0.500 0.500
0.000 0.000 0.500
0.000 0.500 0.000
0.500 0.000 0.000
```

Entry 4:
Below is CaIn2BIr at its PBEsol-relaxed geometry, with properties calculated at the meta-GGA SCAN level.

Results
formation energy from the elements: 2.21 eV/atom
space group: No. 123
DOS(E_F): 3.80 states/eV per cell

```
CaIn2BIr
1.0
4.241 0.000 0.000
0.000 5.362 0.000
0.000 0.000 5.362
Ca Ir B In
1 1 1 2
direct
0.000 0.000 0.000
0.500 0.500 0.500
0.500 0.000 0.000
0.000 0.000 0.500
0.000 0.500 0.000
```

Entry 5:
Below is ZrMnAs2 at its PBEsol-relaxed geometry, with properties calculated at the meta-GGA SCAN level.

Results
formation energy from the elements: -0.46 eV/atom
space group: No. 225
DOS(E_F): 3.22 states/eV per cell

```
ZrMnAs2
1.0
-0.827 4.439 -0.127
-3.835 1.532 -1.830
-3.209 1.776 2.637
As Mn Zr
2 1 1
direct
0.250 0.250 0.250
0.750 0.750 0.750
0.000 0.000 0.000
0.500 0.500 0.500
```

Entry 6:
Below is CdGaN2 at its PBEsol-relaxed geometry, with properties calculated at the meta-GGA SCAN level.

Results
E_form (uncorrected): 2.94 eV/f.u.
space group: No. 166
DOS(E_F): 1.88 states/eV per cell

```
CdGaN2
1.0
3.476 0.000 0.000
1.738 3.010 0.000
1.738 1.003 5.780
N Ga Cd
2 1 1
direct
0.899 0.899 0.304
0.101 0.101 0.696
0.000 0.000 0.000
0.500 0.500 0.500
```

Entry 7:
Below is Sc3Pb5 at its PBEsol-relaxed geometry, with properties calculated at the meta-GGA SCAN level.

Results
formation energy from the elements: -0.39 eV/atom
space group: No. 65
DOS(E_F): 3.65 states/eV per cell

```
Sc3Pb5
1.0
-2.951 2.592 1.968
-4.974 -3.278 -3.143
0.174 -3.945 5.456
Pb Sc
5 3
direct
0.000 0.000 0.000
0.000 0.000 0.500
0.000 0.500 0.000
0.500 0.278 0.278
0.500 0.722 0.722
0.000 0.500 0.500
0.500 0.778 0.222
0.500 0.222 0.778
```

Entry 8:
Below is Ta3HgI at its PBEsol-relaxed geometry, with properties calculated at the meta-GGA SCAN level.

Results
E_form (uncorrected): 11.25 eV/f.u.
space group: No. 221
DOS(E_F): 8.36 states/eV per cell

```
Ta3HgI
1.0
4.934 0.000 0.000
0.000 4.934 0.000
0.000 0.000 4.934
I Hg Ta
1 1 3
direct
0.000 0.000 0.000
0.500 0.500 0.500
0.000 0.500 0.000
0.000 0.000 0.500
0.500 0.000 0.000
```

Entry 9:
Below is ScMoIr at its PBEsol-relaxed geometry, with properties calculated at the meta-GGA SCAN level.

Results
formation energy from the elements: -0.32 eV/atom
space group: No. 44
DOS(E_F): 1.34 states/eV per cell

```
ScMoIr
1.0
2.976 0.000 0.000
0.000 3.406 0.000
-1.488 -1.703 4.772
Ir Mo Sc
1 1 1
direct
0.006 0.006 0.012
0.657 0.657 0.314
0.337 0.337 0.674
```

Entry 10:
Below is LiMnMo2 at its PBEsol-relaxed geometry, with properties calculated at the meta-GGA SCAN level.

Results
formation energy from the elements: 0.31 eV/atom
energy relative to the lowest polymorph listed for this composition: 68 meV/atom
space group: No. 71
DOS(E_F): 3.42 states/eV per cell

```
LiMnMo2
1.0
3.013 0.000 0.000
0.000 4.221 0.000
-1.506 -2.110 4.273
Li Mn Mo
1 1 2
direct
0.500 0.000 0.000
0.000 0.500 0.000
0.739 0.739 0.477
0.261 0.261 0.523
```

Entry 11:
Below is Y7Cu3Te12 at its PBEsol-relaxed geometry, with properties calculated at the meta-GGA SCAN level.

Results
E_form (uncorrected): -28.08 eV/f.u.
space group: No. 1

```
Y7Cu3Te12
1.0
-0.941 -2.789 -6.774
5.334 -4.060 -3.099
-5.767 -12.315 3.244
Y Te Cu
7 12 3
direct
0.422 0.997 0.745
0.668 0.669 0.998
0.910 0.329 0.254
0.754 0.340 0.745
0.254 0.670 0.254
0.080 0.664 0.745
0.580 0.000 0.254
0.872 0.986 0.387
0.710 0.005 0.875
0.193 0.344 0.387
0.048 0.328 0.877
0.551 0.665 0.388
0.371 0.667 0.875
0.621 0.332 0.123
0.468 0.334 0.616
0.961 0.665 0.126
0.787 0.676 0.613
0.288 0.005 0.123
0.127 0.994 0.616
0.135 0.337 0.584
0.193 0.996 0.424
0.529 0.331 0.424
```

Entry 12:
Below is K2MgTeC at its PBEsol-relaxed geometry, with properties calculated at the meta-GGA SCAN level.

Results
E_form (uncorrected): 4.91 eV/f.u.
space group: No. 123
DOS(E_F): 1.18 states/eV per cell

```
K2MgTeC
1.0
-4.453 -0.864 -2.592
3.413 -3.460 -4.710
-0.938 -5.708 3.513
C K Te Mg
1 2 1 1
direct
0.500 0.500 0.500
0.000 0.000 0.500
0.000 0.500 0.000
0.500 0.000 0.000
0.000 0.000 0.000
```

Electronic total energy, record by record: -85.859, -150.702, -69.790, -143.906, -91.163, -62.406, -424.736, -293.403, -121.194, -89.168, -715.593, -64.068 eV/cell